1.
The following is a SCAN calculation of a PBEsol-optimized structure of K4MgW3O12, from Alexandria via LeMat-Bulk. Values from VASP.

Quantum ESPRESSO input file:
```
&SYSTEM
  ibrav = 0, nat = 40, ntyp = 4
/
ATOMIC_SPECIES
K 39.10 K.upf
Mg 24.30 Mg.upf
W 183.84 W.upf
O 16.00 O.upf
CELL_PARAMETERS angstrom
7.807 0.000 0.000
-2.730 9.509 0.000
-2.697 -1.396 9.448
ATOMIC_POSITIONS crystal
K 0.000 0.000 0.000
K 0.138 0.883 0.564
K 0.245 0.471 0.528
K 0.282 0.778 0.242
K 0.500 0.000 0.000
K 0.718 0.222 0.758
K 0.755 0.529 0.472
K 0.862 0.117 0.436
Mg 0.342 0.451 0.125
Mg 0.658 0.549 0.875
W 0.116 0.603 0.852
W 0.261 0.258 0.817
W 0.382 0.190 0.360
W 0.618 0.810 0.640
W 0.739 0.742 0.183
W 0.884 0.397 0.148
O 0.054 0.276 0.698
O 0.101 0.626 0.674
O 0.113 0.498 0.145
O 0.183 0.774 0.953
O 0.207 0.141 0.447
O 0.256 0.265 0.999
O 0.260 0.080 0.783
O 0.297 0.519 0.920
O 0.337 0.055 0.215
O 0.389 0.363 0.306
O 0.397 0.788 0.515
O 0.469 0.364 0.781
O 0.531 0.636 0.219
O 0.603 0.212 0.485
O 0.611 0.637 0.694
O 0.663 0.945 0.785
O 0.703 0.481 0.080
O 0.740 0.920 0.217
O 0.744 0.735 0.001
O 0.793 0.859 0.553
O 0.817 0.226 0.047
O 0.887 0.502 0.855
O 0.899 0.374 0.326
O 0.946 0.724 0.302
```

Computed properties:
SG = P-1, No. 2
E_tot = -370.61 eV per formula unit
Total magnetization = 0.2 μB per formula unit
Formation energy (no corrections) = -2.424 eV per atom

---

2.
The following is a SCAN calculation of a PBEsol-optimized structure of Cu2Pt3, from Alexandria via LeMat-Bulk. Values from VASP.

Quantum ESPRESSO input file:
```
&SYSTEM
  ibrav = 0, nat = 10, ntyp = 2
/
ATOMIC_SPECIES
Cu 63.55 Cu.upf
Pt 195.08 Pt.upf
CELL_PARAMETERS angstrom
4.610 0.000 0.000
0.000 2.714 0.000
-1.297 0.000 10.928
ATOMIC_POSITIONS crystal
Cu 0.051 0.250 0.404
Cu 0.355 0.750 0.797
Cu 0.645 0.250 0.203
Cu 0.949 0.750 0.596
Pt 0.142 0.750 0.208
Pt 0.251 0.250 0.997
Pt 0.442 0.250 0.600
Pt 0.558 0.750 0.400
Pt 0.749 0.750 0.003
Pt 0.858 0.250 0.792
```

Computed properties:
SG = P2_1/m, No. 11
E_tot = -241.59 eV per formula unit
Total magnetization = 0.0 μB per formula unit
Energy relative to the elements = -0.1225 eV per atom
E above lowest polymorph = 0.13 eV/f.u.

---

3.
The following is a SCAN calculation of a PBEsol-optimized structure of Zr2SeCl, from Alexandria via LeMat-Bulk. Values from VASP.

Quantum ESPRESSO input file:
```
&SYSTEM
  ibrav = 0, nat = 4, ntyp = 3
/
ATOMIC_SPECIES
Zr 91.22 Zr.upf
Se 78.96 Se.upf
Cl 35.45 Cl.upf
CELL_PARAMETERS angstrom
-1.609 2.946 4.212
1.609 -2.946 4.212
1.609 2.946 -4.212
ATOMIC_POSITIONS crystal
Zr 0.245 0.245 0.000
Zr 0.755 0.755 0.000
Se 0.500 0.000 0.500
Cl 0.000 0.500 0.500
```

Computed properties:
SG = Immm, No. 71
E_tot = -92.73 eV per formula unit
Total magnetization = 0.0 μB per formula unit
Formation energy (no corrections) = -0.819 eV per atom

---

4.
The following is a SCAN calculation of a PBEsol-optimized structure of RbInTe, from Alexandria via LeMat-Bulk. Values from VASP.

Quantum ESPRESSO input file:
```
&SYSTEM
  ibrav = 0, nat = 6, ntyp = 3
/
ATOMIC_SPECIES
Rb 85.47 Rb.upf
In 114.82 In.upf
Te 127.60 Te.upf
CELL_PARAMETERS angstrom
2.212 -9.491 0.000
2.212 9.491 0.000
0.000 0.000 5.451
ATOMIC_POSITIONS crystal
Rb 0.173 0.827 0.750
Rb 0.827 0.173 0.250
In 0.028 0.972 0.250
In 0.972 0.028 0.750
Te 0.369 0.631 0.750
Te 0.631 0.369 0.250
```

Computed properties:
SG = Cmcm, No. 63
E_tot = -93.73 eV per formula unit
Total magnetization = 0.0 μB per formula unit
Formation energy (no corrections) = -0.785 eV per atom

---

5.
The following is a SCAN calculation of a PBEsol-optimized structure of Mn3Cu2SnP6O24, from Alexandria via LeMat-Bulk. Values from VASP.

Quantum ESPRESSO input file:
```
&SYSTEM
  ibrav = 0, nat = 36, ntyp = 5
/
ATOMIC_SPECIES
Mn 54.94 Mn.upf
Cu 63.55 Cu.upf
Sn 118.71 Sn.upf
P 30.97 P.upf
O 16.00 O.upf
CELL_PARAMETERS angstrom
4.230 2.442 6.895
-4.230 2.442 6.895
0.000 -4.885 6.895
ATOMIC_POSITIONS crystal
Mn 0.000 0.000 0.000
Mn 0.217 0.217 0.217
Mn 0.717 0.717 0.717
Cu 0.354 0.354 0.354
Cu 0.860 0.860 0.860
Sn 0.499 0.499 0.499
P 0.101 0.826 0.396
P 0.314 0.610 0.905
P 0.396 0.101 0.826
P 0.610 0.905 0.314
P 0.826 0.396 0.101
P 0.905 0.314 0.610
O 0.026 0.872 0.241
O 0.095 0.307 0.434
O 0.112 0.770 0.939
O 0.166 0.982 0.363
O 0.241 0.026 0.872
O 0.270 0.629 0.398
O 0.307 0.434 0.095
O 0.332 0.566 0.741
O 0.363 0.166 0.982
O 0.398 0.270 0.629
O 0.434 0.095 0.307
O 0.482 0.664 0.862
O 0.566 0.741 0.332
O 0.598 0.941 0.801
O 0.629 0.398 0.270
O 0.664 0.862 0.482
O 0.741 0.332 0.566
O 0.770 0.939 0.112
O 0.801 0.598 0.941
O 0.862 0.482 0.664
O 0.872 0.241 0.026
O 0.939 0.112 0.770
O 0.941 0.801 0.598
O 0.982 0.363 0.166
```

Computed properties:
SG = R3, No. 146
E_tot = -409.06 eV per formula unit
Total magnetization = 9.9 μB per formula unit
Formation energy (no corrections) = -2.112 eV per atom

---

6.
The following is a SCAN calculation of a PBEsol-optimized structure of MgSc2Se4, from Alexandria via LeMat-Bulk. Values from VASP.

Quantum ESPRESSO input file:
```
&SYSTEM
  ibrav = 0, nat = 28, ntyp = 3
/
ATOMIC_SPECIES
Mg 24.30 Mg.upf
Sc 44.96 Sc.upf
Se 78.96 Se.upf
CELL_PARAMETERS angstrom
12.560 0.000 0.000
0.000 3.766 0.000
0.000 0.000 13.032
ATOMIC_POSITIONS crystal
Mg 0.123 0.250 0.077
Mg 0.377 0.750 0.577
Mg 0.623 0.250 0.423
Mg 0.877 0.750 0.923
Sc 0.109 0.750 0.426
Sc 0.151 0.750 0.799
Sc 0.349 0.250 0.299
Sc 0.391 0.250 0.926
Sc 0.609 0.750 0.074
Sc 0.651 0.750 0.701
Sc 0.849 0.250 0.201
Sc 0.891 0.250 0.574
Se 0.028 0.250 0.886
Se 0.033 0.750 0.623
Se 0.212 0.750 0.243
Se 0.248 0.250 0.483
Se 0.252 0.750 0.983
Se 0.288 0.250 0.743
Se 0.467 0.250 0.123
Se 0.472 0.750 0.386
Se 0.528 0.250 0.614
Se 0.533 0.750 0.877
Se 0.712 0.750 0.257
Se 0.748 0.250 0.017
Se 0.752 0.750 0.517
Se 0.788 0.250 0.757
Se 0.967 0.250 0.377
Se 0.972 0.750 0.114
```

Computed properties:
SG = Pnma, No. 62
E_tot = -125.82 eV per formula unit
Total magnetization = 0.0 μB per formula unit
Formation energy (no corrections) = -1.722 eV per atom
E above lowest polymorph = 0.59 eV/f.u.

---

7.
The following is a SCAN calculation of a PBEsol-optimized structure of Sr3ScPb, from Alexandria via LeMat-Bulk. Values from VASP.

Quantum ESPRESSO input file:
```
&SYSTEM
  ibrav = 0, nat = 5, ntyp = 3
/
ATOMIC_SPECIES
Sr 87.62 Sr.upf
Sc 44.96 Sc.upf
Pb 207.20 Pb.upf
CELL_PARAMETERS angstrom
6.060 0.000 0.000
0.000 6.060 0.000
0.000 0.000 6.060
ATOMIC_POSITIONS crystal
Sr 0.000 0.000 0.500
Sr 0.000 0.500 0.000
Sr 0.500 0.000 0.000
Sc 0.000 0.000 0.000
Pb 0.500 0.500 0.500
```

Computed properties:
SG = Pm-3m, No. 221
E_tot = -153.83 eV per formula unit
Total magnetization = 2.9 μB per formula unit
Energy relative to the elements = 0.6032 eV per atom

---

8.
The following is a SCAN calculation of a PBEsol-optimized structure of CdGaTe3, from Alexandria via LeMat-Bulk. Values from VASP.

Quantum ESPRESSO input file:
```
&SYSTEM
  ibrav = 0, nat = 5, ntyp = 3
/
ATOMIC_SPECIES
Cd 112.41 Cd.upf
Ga 69.72 Ga.upf
Te 127.60 Te.upf
CELL_PARAMETERS angstrom
5.517 0.000 0.000
0.000 5.517 0.000
0.000 0.000 5.517
ATOMIC_POSITIONS crystal
Cd 0.000 0.000 0.000
Ga 0.500 0.500 0.500
Te 0.000 0.000 0.500
Te 0.000 0.500 0.000
Te 0.500 0.000 0.000
```

Computed properties:
SG = Pm-3m, No. 221
E_tot = -156.27 eV per formula unit
Total magnetization = 0.0 μB per formula unit
Formation energy (no corrections) = 0.448 eV per atom

---

9.
The following is a SCAN calculation of a PBEsol-optimized structure of H2S, from Alexandria via LeMat-Bulk. Values from VASP.

Quantum ESPRESSO input file:
```
&SYSTEM
  ibrav = 0, nat = 24, ntyp = 2
/
ATOMIC_SPECIES
H 1.01 H.upf
S 32.06 S.upf
CELL_PARAMETERS angstrom
3.974 0.000 0.000
0.000 12.320 0.000
0.000 0.000 6.224
ATOMIC_POSITIONS crystal
H 0.200 0.226 0.250
H 0.200 0.274 0.750
H 0.215 0.062 0.250
H 0.215 0.438 0.750
H 0.295 0.626 0.588
H 0.295 0.626 0.912
H 0.295 0.874 0.088
H 0.295 0.874 0.412
H 0.705 0.126 0.588
H 0.705 0.126 0.912
H 0.705 0.374 0.088
H 0.705 0.374 0.412
H 0.785 0.562 0.250
H 0.785 0.938 0.750
H 0.800 0.726 0.250
H 0.800 0.774 0.750
S 0.028 0.642 0.250
S 0.028 0.858 0.750
S 0.478 0.106 0.750
S 0.478 0.394 0.250
S 0.522 0.606 0.750
S 0.522 0.894 0.250
S 0.972 0.142 0.250
S 0.972 0.358 0.750
```

Computed properties:
SG = Pbcm, No. 57
E_tot = -17.05 eV per formula unit
Total magnetization = 0.0 μB per formula unit
E above lowest polymorph = 0.00 eV/f.u.

---

10.
The following is a SCAN calculation of a PBEsol-optimized structure of YInIr4, from Alexandria via LeMat-Bulk. Values from VASP.

Quantum ESPRESSO input file:
```
&SYSTEM
  ibrav = 0, nat = 6, ntyp = 3
/
ATOMIC_SPECIES
Y 88.91 Y.upf
In 114.82 In.upf
Ir 192.22 Ir.upf
CELL_PARAMETERS angstrom
0.000 3.715 3.715
3.715 0.000 3.715
3.715 3.715 0.000
ATOMIC_POSITIONS crystal
Y 0.000 0.000 0.000
In 0.750 0.750 0.750
Ir 0.375 0.375 0.375
Ir 0.375 0.375 0.874
Ir 0.375 0.874 0.375
Ir 0.874 0.375 0.375
```

Computed properties:
SG = F-43m, No. 216
E_tot = -348.45 eV per formula unit
Total magnetization = 0.0 μB per formula unit
Energy relative to the elements = -0.4711 eV per atom

---

11.
The following is a SCAN calculation of a PBEsol-optimized structure of CeB4ClO8, from Alexandria via LeMat-Bulk. Values from VASP.

Quantum ESPRESSO input file:
```
&SYSTEM
  ibrav = 0, nat = 28, ntyp = 4
/
ATOMIC_SPECIES
Ce 140.12 Ce.upf
B 10.81 B.upf
Cl 35.45 Cl.upf
O 16.00 O.upf
CELL_PARAMETERS angstrom
3.241 -5.611 0.000
3.241 5.611 0.000
-2.621 0.000 8.833
ATOMIC_POSITIONS crystal
Ce 0.197 0.803 0.500
Ce 0.803 0.197 0.000
B 0.133 0.250 0.594
B 0.250 0.133 0.094
B 0.375 0.850 0.162
B 0.506 0.563 0.073
B 0.563 0.506 0.573
B 0.751 0.952 0.650
B 0.850 0.375 0.662
B 0.952 0.751 0.150
Cl 0.324 0.968 0.815
Cl 0.968 0.324 0.315
O 0.012 0.972 0.094
O 0.093 0.436 0.635
O 0.112 0.664 0.105
O 0.282 0.349 0.060
O 0.349 0.282 0.560
O 0.412 0.855 0.321
O 0.436 0.093 0.135
O 0.526 0.785 0.086
O 0.543 0.705 0.572
O 0.664 0.112 0.605
O 0.705 0.543 0.072
O 0.785 0.526 0.586
O 0.802 0.985 0.812
O 0.855 0.412 0.821
O 0.972 0.012 0.594
O 0.985 0.802 0.312
```

Computed properties:
SG = Cc, No. 9
E_tot = -167.94 eV per formula unit
Total magnetization = 1.1 μB per formula unit
Formation energy (no corrections) = -2.560 eV per atom

---

12.
The following is a SCAN calculation of a PBEsol-optimized structure of BaInP2Cl, from Alexandria via LeMat-Bulk. Values from VASP.

Quantum ESPRESSO input file:
```
&SYSTEM
  ibrav = 0, nat = 5, ntyp = 4
/
ATOMIC_SPECIES
Ba 137.33 Ba.upf
In 114.82 In.upf
P 30.97 P.upf
Cl 35.45 Cl.upf
CELL_PARAMETERS angstrom
4.945 0.000 0.000
0.000 4.945 0.000
0.000 0.000 5.506
ATOMIC_POSITIONS crystal
Ba 0.000 0.000 0.000
In 0.500 0.500 0.500
P 0.000 0.500 0.500
P 0.500 0.000 0.500
Cl 0.500 0.500 0.000
```

Computed properties:
SG = P4/mmm, No. 123
E_tot = -104.62 eV per formula unit
Total magnetization = 0.0 μB per formula unit
Formation energy (no corrections) = -0.582 eV per atom